Entry 1:
Material: La4SmIn
Method: DFT, PBE
State: optimized geometry

Output
DFT formation energy ... -0.989 eV/f.u.

The structure in CIF format:
```
data_La4SmIn
_cell_length_a 6.2796
_cell_length_b 7.0963
_cell_length_c 8.9008
_cell_angle_alpha 90.00
_cell_angle_beta 90.88
_cell_angle_gamma 90.00
_space_group_name_H-M_alt 'P 1 21/m 1'
_space_group_IT_number 11
_space_group_name_Hall '-P 2yb'
loop_
_atom_site_label
_atom_site_fract_x
_atom_site_fract_y
_atom_site_fract_z
_atom_site_occupancy
La1 0.0000 0.0000 0.0000 1
La2 0.3397 0.0073 0.3404 1
La3 0.4791 0.7500 0.9819 1
Sm1 0.1582 0.2500 0.6674 1
In1 0.1570 0.7500 0.6537 1
```

=====

Entry 2:
Material: MgIn2S4
Method: DFT, PBE
State: optimized geometry

Output
Raw total energy ... -3.90 eV/atom

The structure in CIF format:
```
data_MgIn2S4
_cell_length_a 8.3014
_cell_length_b 7.2680
_cell_length_c 11.2239
_cell_angle_alpha 90.00
_cell_angle_beta 90.00
_cell_angle_gamma 90.00
_space_group_name_H-M_alt 'P n m a'
_space_group_IT_number 62
_space_group_name_Hall '-P 2ac 2n'
loop_
_atom_site_label
_atom_site_fract_x
_atom_site_fract_y
_atom_site_fract_z
_atom_site_occupancy
Mg1 0.1972 0.2500 0.0755 1
In1 0.0188 0.7500 0.2098 1
In2 0.0971 0.2500 0.4847 1
S1 0.0890 0.5245 0.6423 1
S2 0.0943 0.7500 0.9911 1
S3 0.2377 0.7500 0.3616 1
```

=====

Entry 3:
Material: LaPmSmHo3
Method: DFT, PBE
State: optimized geometry

Output
DFT formation energy ... 1.128 eV/f.u.

The structure in CIF format:
```
data_LaPmSmHo3
_cell_length_a 20.0092
_cell_length_b 5.6416
_cell_length_c 7.0894
_cell_angle_alpha 90.00
_cell_angle_beta 90.28
_cell_angle_gamma 90.00
_space_group_name_H-M_alt 'C 1 2/m 1'
_space_group_IT_number 12
_space_group_name_Hall '-C 2y'
loop_
_atom_site_label
_atom_site_fract_x
_atom_site_fract_y
_atom_site_fract_z
_atom_site_occupancy
La1 0.1460 0.0000 0.0388 1
Pm1 0.0544 0.5000 0.2607 1
Sm1 0.1488 0.0000 0.4624 1
Ho1 0.0237 0.0000 0.7428 1
Ho2 0.1637 0.5000 0.7394 1
Ho3 0.2214 0.5000 0.2458 1
```

=====

Entry 4:
Material: Ac2CdInO6
Method: DFT, PBE
State: optimized geometry

Output
Raw total energy ... -6.26 eV/atom

The structure in CIF format:
```
data_Ac2CdInO6
_cell_length_a 5.6067
_cell_length_b 5.6067
_cell_length_c 5.4410
_cell_angle_alpha 90.00
_cell_angle_beta 90.00
_cell_angle_gamma 90.00
_space_group_name_H-M_alt 'P 4 m m'
_space_group_IT_number 99
_space_group_name_Hall 'P 4 -2'
loop_
_atom_site_label
_atom_site_fract_x
_atom_site_fract_y
_atom_site_fract_z
_atom_site_occupancy
Ac1 0.0000 0.5000 0.0000 1
Cd1 0.0000 0.0000 0.5432 1
In1 0.5000 0.5000 0.5554 1
O1 0.0000 0.0000 0.1432 1
O2 0.2554 0.2554 0.7208 1
O3 0.5000 0.5000 0.1740 1
```

=====

Entry 5:
Material: CrSbIr2
Method: DFT, PBE
State: optimized geometry

Output
Raw total energy ... -7.72 eV/atom

The structure in CIF format:
```
data_CrSbIr2
_cell_length_a 9.1823
_cell_length_b 3.0557
_cell_length_c 4.6985
_cell_angle_alpha 90.00
_cell_angle_beta 101.50
_cell_angle_gamma 90.00
_space_group_name_H-M_alt 'C 1 m 1'
_space_group_IT_number 8
_space_group_name_Hall 'C -2y'
loop_
_atom_site_label
_atom_site_fract_x
_atom_site_fract_y
_atom_site_fract_z
_atom_site_occupancy
Cr1 0.0000 0.0000 0.0000 1
Sb1 0.2575 0.5000 0.3356 1
Ir1 0.0022 0.5000 0.5315 1
Ir2 0.2660 0.0000 0.8585 1
```

=====

Entry 6:
Material: ZnGaRhPb2
Method: DFT, PBE
State: optimized geometry

Output
DFT formation energy ... 0.814 eV/f.u.

The structure in CIF format:
```
data_ZnGaRhPb2
_cell_length_a 5.2411
_cell_length_b 5.2411
_cell_length_c 4.8794
_cell_angle_alpha 90.00
_cell_angle_beta 90.00
_cell_angle_gamma 90.00
_space_group_name_H-M_alt 'P 4/m m m'
_space_group_IT_number 123
_space_group_name_Hall '-P 4 2'
loop_
_atom_site_label
_atom_site_fract_x
_atom_site_fract_y
_atom_site_fract_z
_atom_site_occupancy
Zn1 0.0000 0.0000 0.0000 1
Ga1 0.5000 0.5000 0.0000 1
Rh1 0.0000 0.0000 0.5000 1
Pb1 0.0000 0.5000 0.5000 1
```

=====

| no. | total moment (μB per cell) | theoretical density (kg/m³) |
| --- | --- | --- |
| 1 | 0.00 | 6873 |
| 2 | 0.00 | 3749 |
| 3 | 0.00 | 7711 |
| 4 | 0.78 | 7546 |
| 5 | 5.69 | 14350 |
| 6 | 0.00 | 8083 |